# 1
# LiAgHg4 PBE optimized geometry
data_LiAgHg4
_space_group_name_H-M_alt 'P 1'
_space_group_IT_number 1
_space_group_name_Hall 'P 1'
_cell_length_a 5.898
_cell_length_b 5.898
_cell_length_c 5.898
_cell_angle_alpha 60.00
_cell_angle_beta 60.00
_cell_angle_gamma 60.00
loop_
_atom_site_label
_atom_site_type_symbol
_atom_site_fract_x
_atom_site_fract_y
_atom_site_fract_z
Li1 Li 0.000 0.000 0.000
Ag1 Ag 0.750 0.750 0.750
Hg1 Hg 0.375 0.375 0.375
Hg2 Hg 0.375 0.375 0.875
Hg3 Hg 0.375 0.875 0.375
Hg4 Hg 0.875 0.375 0.375
# Energy of formation from the pure elements (eV per formula unit): 0.6
# DOS(E_F) (states/eV/atom): 0.300
# Space group: F-43m, No. 216

# 2
# Li6AgHg5 PBE optimized geometry
data_Li6AgHg5
_space_group_name_H-M_alt 'P 1'
_space_group_IT_number 1
_space_group_name_Hall 'P 1'
_cell_length_a 7.974
_cell_length_b 7.974
_cell_length_c 4.651
_cell_angle_alpha 105.26
_cell_angle_beta 105.26
_cell_angle_gamma 49.64
loop_
_atom_site_label
_atom_site_type_symbol
_atom_site_fract_x
_atom_site_fract_y
_atom_site_fract_z
Li1 Li 0.083 0.586 0.334
Li2 Li 0.249 0.751 0.000
Li3 Li 0.414 0.917 0.666
Li4 Li 0.586 0.083 0.334
Li5 Li 0.751 0.249 0.000
Li6 Li 0.917 0.414 0.666
Ag1 Ag 0.000 0.000 0.500
Hg1 Hg 0.162 0.162 0.165
Hg2 Hg 0.331 0.331 0.831
Hg3 Hg 0.500 0.500 0.500
Hg4 Hg 0.669 0.669 0.169
Hg5 Hg 0.838 0.838 0.835
# Energy of formation from the pure elements (eV per formula unit): -4.1
# DOS(E_F) (states/eV/atom): 0.315
# Space group: C2/m, No. 12

Repeat the second record exactly.
# Li6AgHg5 PBE optimized geometry
data_Li6AgHg5
_space_group_name_H-M_alt 'P 1'
_space_group_IT_number 1
_space_group_name_Hall 'P 1'
_cell_length_a 7.974
_cell_length_b 7.974
_cell_length_c 4.651
_cell_angle_alpha 105.26
_cell_angle_beta 105.26
_cell_angle_gamma 49.64
loop_
_atom_site_label
_atom_site_type_symbol
_atom_site_fract_x
_atom_site_fract_y
_atom_site_fract_z
Li1 Li 0.083 0.586 0.334
Li2 Li 0.249 0.751 0.000
Li3 Li 0.414 0.917 0.666
Li4 Li 0.586 0.083 0.334
Li5 Li 0.751 0.249 0.000
Li6 Li 0.917 0.414 0.666
Ag1 Ag 0.000 0.000 0.500
Hg1 Hg 0.162 0.162 0.165
Hg2 Hg 0.331 0.331 0.831
Hg3 Hg 0.500 0.500 0.500
Hg4 Hg 0.669 0.669 0.169
Hg5 Hg 0.838 0.838 0.835
# Energy of formation from the pure elements (eV per formula unit): -4.1
# DOS(E_F) (states/eV/atom): 0.315
# Space group: C2/m, No. 12

- The highest energy of formation from the pure elements belongs to which entry?
  LiAgHg4